# PBE Na2Li2RuO4, optimized geometry
# Magnetic moment   0.2222 μB per atom
# Formation energy (no corrections)   -13.23 eV per formula unit
# Crystal system   monoclinic
data_Na2Li2RuO4
_cell_length_a 10.7973
_cell_length_b 3.2263
_cell_length_c 7.6227
_cell_angle_alpha 90.00
_cell_angle_beta 128.04
_cell_angle_gamma 90.00
_space_group_name_H-M_alt 'C 1 2/m 1'
_space_group_IT_number 12
_space_group_name_Hall '-C 2y'
loop_
_atom_site_label
_atom_site_type_symbol
_atom_site_fract_x
_atom_site_fract_y
_atom_site_fract_z
_atom_site_occupancy
Na1 Na 0.1742 0.0000 0.2919 1
Li1 Li 0.1533 0.5000 0.8736 1
Ru1 Ru 0.0000 0.0000 0.5000 1
O1 O 0.0614 0.5000 0.3896 1
O2 O 0.2125 0.0000 0.7981 1

***

# PBE CuPtRh14, optimized geometry
# Magnetic moment   0.0000 μB per atom
# Crystal system   orthorhombic
# Formation energy   0.02 eV per atom
data_CuPtRh14
_cell_length_a 8.9051
_cell_length_b 5.4388
_cell_length_c 9.4138
_cell_angle_alpha 90.00
_cell_angle_beta 90.00
_cell_angle_gamma 90.00
_space_group_name_H-M_alt 'A m m 2'
_space_group_IT_number 38
_space_group_name_Hall 'A 2 -2'
loop_
_atom_site_label
_atom_site_type_symbol
_atom_site_fract_x
_atom_site_fract_y
_atom_site_fract_z
_atom_site_occupancy
Cu1 Cu 0.0000 0.0000 0.0000 1
Pt1 Pt 0.0000 0.0000 0.4994 1
Rh1 Rh 0.0000 0.2488 0.2502 1
Rh2 Rh 0.2489 0.0000 0.8331 1
Rh3 Rh 0.2499 0.0000 0.3321 1
Rh4 Rh 0.2506 0.2487 0.0832 1
Rh5 Rh 0.5000 0.0000 0.1658 1
Rh6 Rh 0.5000 0.0000 0.6659 1
Rh7 Rh 0.5000 0.2504 0.4161 1

***

# PBE ZrGaAs2Br, optimized geometry
# Magnetic moment   0.0000 μB per atom
# Formation energy (no corrections)   -0.65 eV per formula unit
# Crystal system   tetragonal
# Polymorph energy (0 for the lowest one)   0 meV/atom
data_ZrGaAs2Br
_cell_length_a 5.1877
_cell_length_b 5.1877
_cell_length_c 5.5733
_cell_angle_alpha 90.00
_cell_angle_beta 90.00
_cell_angle_gamma 90.00
_space_group_name_H-M_alt 'P 4/m m m'
_space_group_IT_number 123
_space_group_name_Hall '-P 4 2'
loop_
_atom_site_label
_atom_site_type_symbol
_atom_site_fract_x
_atom_site_fract_y
_atom_site_fract_z
_atom_site_occupancy
Zr1 Zr 0.0000 0.0000 0.0000 1
Ga1 Ga 0.5000 0.5000 0.5000 1
As1 As 0.0000 0.5000 0.0000 1
Br1 Br 0.0000 0.0000 0.5000 1

***

# PBE Sc2Ga2Ag, optimized geometry
# Magnetic moment   0.0000 μB per atom
# Crystal system   tetragonal
# Formation energy   -0.18 eV per atom
# Polymorph energy (0 for the lowest one)   341 meV/atom
data_Sc2Ga2Ag
_cell_length_a 8.1234
_cell_length_b 8.1234
_cell_length_c 3.1184
_cell_angle_alpha 90.00
_cell_angle_beta 90.00
_cell_angle_gamma 90.00
_space_group_name_H-M_alt 'P 4/m b m'
_space_group_IT_number 127
_space_group_name_Hall '-P 4 2ab'
loop_
_atom_site_label
_atom_site_type_symbol
_atom_site_fract_x
_atom_site_fract_y
_atom_site_fract_z
_atom_site_occupancy
Sc1 Sc 0.1293 0.3707 0.0000 1
Ga1 Ga 0.1749 0.6749 0.5000 1
Ag1 Ag 0.0000 0.0000 0.0000 1

***

# PBE YMn2Tl, optimized geometry
# Magnetic moment   1.6847 μB per atom
# Crystal system   tetragonal
# Formation energy   0.27 eV per atom
# Polymorph energy (0 for the lowest one)   42 meV/atom
data_YMn2Tl
_cell_length_a 4.4517
_cell_length_b 4.4517
_cell_length_c 4.1822
_cell_angle_alpha 90.00
_cell_angle_beta 90.00
_cell_angle_gamma 90.00
_space_group_name_H-M_alt 'P 4/m m m'
_space_group_IT_number 123
_space_group_name_Hall '-P 4 2'
loop_
_atom_site_label
_atom_site_type_symbol
_atom_site_fract_x
_atom_site_fract_y
_atom_site_fract_z
_atom_site_occupancy
Y1 Y 0.0000 0.0000 0.0000 1
Mn1 Mn 0.0000 0.5000 0.5000 1
Tl1 Tl 0.5000 0.5000 0.0000 1

***

# PBE HfCrNi2, optimized geometry
# Magnetic moment   0.6033 μB per atom
# Crystal system   tetragonal
# Formation energy   0.39 eV per atom
data_HfCrNi2
_cell_length_a 3.7760
_cell_length_b 3.7760
_cell_length_c 17.0749
_cell_angle_alpha 90.00
_cell_angle_beta 90.00
_cell_angle_gamma 90.00
_space_group_name_H-M_alt 'I -4 2 d'
_space_group_IT_number 122
_space_group_name_Hall 'I -4 2bw'
loop_
_atom_site_label
_atom_site_type_symbol
_atom_site_fract_x
_atom_site_fract_y
_atom_site_fract_z
_atom_site_occupancy
Hf1 Hf 0.0000 0.0000 0.0000 1
Cr1 Cr 0.0000 0.0000 0.5000 1
Ni1 Ni 0.2166 0.2500 0.6250 1

***

# PBE K2AlFe, optimized geometry
# Magnetic moment   0.5082 μB per atom
# Crystal system   tetragonal
# Formation energy   0.42 eV per atom
data_K2AlFe
_cell_length_a 3.5174
_cell_length_b 3.5174
_cell_length_c 10.3315
_cell_angle_alpha 90.00
_cell_angle_beta 90.00
_cell_angle_gamma 90.00
_space_group_name_H-M_alt 'P 4 m m'
_space_group_IT_number 99
_space_group_name_Hall 'P 4 -2'
loop_
_atom_site_label
_atom_site_type_symbol
_atom_site_fract_x
_atom_site_fract_y
_atom_site_fract_z
_atom_site_occupancy
K1 K 0.0000 0.0000 0.0000 1
K2 K 0.5000 0.5000 0.4032 1
Al1 Al 0.0000 0.0000 0.6855 1
Fe1 Fe 0.5000 0.5000 0.7162 1

***

# PBE RbGa2Ir, optimized geometry
# Magnetic moment   0.0000 μB per atom
# Crystal system   cubic
# Formation energy   0.52 eV per atom
# Polymorph energy (0 for the lowest one)   739 meV/atom
data_RbGa2Ir
_cell_length_a 6.9266
_cell_length_b 6.9266
_cell_length_c 6.9266
_cell_angle_alpha 90.00
_cell_angle_beta 90.00
_cell_angle_gamma 90.00
_space_group_name_H-M_alt 'F m -3 m'
_space_group_IT_number 225
_space_group_name_Hall '-F 4 2 3'
loop_
_atom_site_label
_atom_site_type_symbol
_atom_site_fract_x
_atom_site_fract_y
_atom_site_fract_z
_atom_site_occupancy
Rb1 Rb 0.0000 0.0000 0.0000 1
Ga1 Ga 0.2500 0.2500 0.2500 1
Ir1 Ir 0.0000 0.0000 0.5000 1

***

# PBE KRb2Cu2Br7, optimized geometry
# Magnetic moment   0.0000 μB per atom
# Formation energy (no corrections)   -12.05 eV per formula unit
# Crystal system   monoclinic
data_KRb2Cu2Br7
_cell_length_a 7.3898
_cell_length_b 7.3907
_cell_length_c 14.0102
_cell_angle_alpha 90.00
_cell_angle_beta 105.23
_cell_angle_gamma 90.00
_space_group_name_H-M_alt 'C 1 2/m 1'
_space_group_IT_number 12
_space_group_name_Hall '-C 2y'
loop_
_atom_site_label
_atom_site_type_symbol
_atom_site_fract_x
_atom_site_fract_y
_atom_site_fract_z
_atom_site_occupancy
K1 K 0.0000 0.0000 0.0000 1
Rb1 Rb 0.1787 0.0000 0.3589 1
Cu1 Cu 0.0949 0.5000 0.1911 1
Br1 Br 0.0000 0.5000 0.0000 1
Br2 Br 0.1602 0.2500 0.8195 1
Br3 Br 0.1889 0.5000 0.3795 1

***

# PBE Rb4Ge2F, optimized geometry
# Magnetic moment   0.0001 μB per atom
# Formation energy (no corrections)   -4.74 eV per formula unit
# Crystal system   tetragonal
data_Rb4Ge2F
_cell_length_a 6.7441
_cell_length_b 6.7441
_cell_length_c 14.7753
_cell_angle_alpha 90.00
_cell_angle_beta 90.00
_cell_angle_gamma 90.00
_space_group_name_H-M_alt 'I 4/m m m'
_space_group_IT_number 139
_space_group_name_Hall '-I 4 2'
loop_
_atom_site_label
_atom_site_type_symbol
_atom_site_fract_x
_atom_site_fract_y
_atom_site_fract_z
_atom_site_occupancy
Rb1 Rb 0.0000 0.0000 0.1801 1
Rb2 Rb 0.0000 0.5000 0.0000 1
Ge1 Ge 0.0000 0.0000 0.4215 1
F1 F 0.0000 0.0000 0.0000 1

***

# PBE AcTlSn2, optimized geometry
# Magnetic moment   0.0000 μB per atom
# Crystal system   tetragonal
# Formation energy   -0.46 eV per atom
# Polymorph energy (0 for the lowest one)   0 meV/atom
data_AcTlSn2
_cell_length_a 4.9016
_cell_length_b 4.9016
_cell_length_c 5.0515
_cell_angle_alpha 90.00
_cell_angle_beta 90.00
_cell_angle_gamma 90.00
_space_group_name_H-M_alt 'P 4/m m m'
_space_group_IT_number 123
_space_group_name_Hall '-P 4 2'
loop_
_atom_site_label
_atom_site_type_symbol
_atom_site_fract_x
_atom_site_fract_y
_atom_site_fract_z
_atom_site_occupancy
Ac1 Ac 0.0000 0.0000 0.0000 1
Tl1 Tl 0.5000 0.5000 0.0000 1
Sn1 Sn 0.0000 0.5000 0.5000 1

***

# PBE AcPrY5, optimized geometry
# Magnetic moment   0.0000 μB per atom
# Crystal system   monoclinic
# Formation energy   0.09 eV per atom
data_AcPrY5
_cell_length_a 9.0460
_cell_length_b 9.9328
_cell_length_c 11.7033
_cell_angle_alpha 90.00
_cell_angle_beta 110.74
_cell_angle_gamma 90.00
_space_group_name_H-M_alt 'C 1 2/c 1'
_space_group_IT_number 15
_space_group_name_Hall '-C 2yc'
loop_
_atom_site_label
_atom_site_type_symbol
_atom_site_fract_x
_atom_site_fract_y
_atom_site_fract_z
_atom_site_occupancy
Ac1 Ac 0.2500 0.2500 0.0000 1
Pr1 Pr 0.0000 0.2364 0.2500 1
Y1 Y 0.0000 0.4228 0.7500 1
Y2 Y 0.1260 0.0737 0.6658 1
Y3 Y 0.1686 0.3962 0.5359 1

***

# PBE Pr2ZnNi6, optimized geometry
# Magnetic moment   0.0000 μB per atom
# Crystal system   trigonal
# Formation energy   -0.23 eV per atom
data_Pr2ZnNi6
_cell_length_a 5.3293
_cell_length_b 5.3293
_cell_length_c 5.7398
_cell_angle_alpha 90.00
_cell_angle_beta 90.00
_cell_angle_gamma 120.00
_space_group_name_H-M_alt 'P -3 m 1'
_space_group_IT_number 164
_space_group_name_Hall '-P 3 2"'
loop_
_atom_site_label
_atom_site_type_symbol
_atom_site_fract_x
_atom_site_fract_y
_atom_site_fract_z
_atom_site_occupancy
Pr1 Pr 0.3333 0.6667 0.3243 1
Zn1 Zn 0.0000 0.0000 0.5000 1
Ni1 Ni 0.1729 0.3458 0.8344 1

***

# PBE AsPbBr4, optimized geometry
# Magnetic moment   0.7614 μB per atom
# Formation energy (no corrections)   3.42 eV per formula unit
# Crystal system   cubic
data_AsPbBr4
_cell_length_a 9.0658
_cell_length_b 9.0658
_cell_length_c 9.0658
_cell_angle_alpha 90.00
_cell_angle_beta 90.00
_cell_angle_gamma 90.00
_space_group_name_H-M_alt 'F -4 3 m'
_space_group_IT_number 216
_space_group_name_Hall 'F -4 2 3'
loop_
_atom_site_label
_atom_site_type_symbol
_atom_site_fract_x
_atom_site_fract_y
_atom_site_fract_z
_atom_site_occupancy
As1 As 0.0000 0.0000 0.0000 1
Pb1 Pb 0.2500 0.2500 0.2500 1
Br1 Br 0.1248 0.1248 0.6248 1

***

# PBE Tb3NdZn4, optimized geometry
# Magnetic moment   0.0000 μB per atom
# Crystal system   tetragonal
# Formation energy   -0.33 eV per atom
data_Tb3NdZn4
_cell_length_a 5.0845
_cell_length_b 5.0845
_cell_length_c 7.2625
_cell_angle_alpha 90.00
_cell_angle_beta 90.00
_cell_angle_gamma 90.00
_space_group_name_H-M_alt 'P 4/m m m'
_space_group_IT_number 123
_space_group_name_Hall '-P 4 2'
loop_
_atom_site_label
_atom_site_type_symbol
_atom_site_fract_x
_atom_site_fract_y
_atom_site_fract_z
_atom_site_occupancy
Tb1 Tb 0.0000 0.0000 0.0000 1
Tb2 Tb 0.0000 0.0000 0.5000 1
Tb3 Tb 0.5000 0.5000 0.0000 1
Nd1 Nd 0.5000 0.5000 0.5000 1
Zn1 Zn 0.0000 0.5000 0.2428 1

***

# PBE Ba2LaCu, optimized geometry
# Magnetic moment   0.0029 μB per atom
# Crystal system   orthorhombic
# Formation energy   0.12 eV per atom
# Polymorph energy (0 for the lowest one)   77 meV/atom
data_Ba2LaCu
_cell_length_a 3.9642
_cell_length_b 6.2331
_cell_length_c 12.9717
_cell_angle_alpha 90.00
_cell_angle_beta 90.00
_cell_angle_gamma 90.00
_space_group_name_H-M_alt 'I m m 2'
_space_group_IT_number 44
_space_group_name_Hall 'I 2 -2'
loop_
_atom_site_label
_atom_site_type_symbol
_atom_site_fract_x
_atom_site_fract_y
_atom_site_fract_z
_atom_site_occupancy
Ba1 Ba 0.0000 0.0000 0.0000 1
Ba2 Ba 0.0000 0.5000 0.1926 1
La1 La 0.0000 0.0000 0.3772 1
Cu1 Cu 0.0000 0.5000 0.7112 1

***

# PBE ZnSnPb2Au6, optimized geometry
# Magnetic moment   0.0000 μB per atom
# Crystal system   triclinic
# Formation energy   -0.05 eV per atom
data_ZnSnPb2Au6
_cell_length_a 5.6939
_cell_length_b 6.8774
_cell_length_c 6.8833
_cell_angle_alpha 89.87
_cell_angle_beta 65.87
_cell_angle_gamma 65.57
_space_group_name_H-M_alt 'P -1'
_space_group_IT_number 2
_space_group_name_Hall '-P 1'
loop_
_atom_site_label
_atom_site_type_symbol
_atom_site_fract_x
_atom_site_fract_y
_atom_site_fract_z
_atom_site_occupancy
Zn1 Zn 0.0000 0.0000 0.0000 1
Sn1 Sn 0.5000 0.5000 0.5000 1
Pb1 Pb 0.2455 0.2567 0.2549 1
Au1 Au 0.1807 0.8317 0.3054 1
Au2 Au 0.2417 0.5733 0.9454 1
Au3 Au 0.3157 0.1692 0.6973 1

***

# PBE LaMnTe2, optimized geometry
# Magnetic moment   1.2789 μB per atom
# Formation energy (no corrections)   -2.26 eV per formula unit
# Crystal system   tetragonal
# Polymorph energy (0 for the lowest one)   245 meV/atom
data_LaMnTe2
_cell_length_a 3.8693
_cell_length_b 3.8693
_cell_length_c 7.4425
_cell_angle_alpha 90.00
_cell_angle_beta 90.00
_cell_angle_gamma 90.00
_space_group_name_H-M_alt 'P 4/m m m'
_space_group_IT_number 123
_space_group_name_Hall '-P 4 2'
loop_
_atom_site_label
_atom_site_type_symbol
_atom_site_fract_x
_atom_site_fract_y
_atom_site_fract_z
_atom_site_occupancy
La1 La 0.0000 0.0000 0.0000 1
Mn1 Mn 0.0000 0.0000 0.5000 1
Te1 Te 0.5000 0.5000 0.2608 1

***

# PBE KHgMoCl, optimized geometry
# Magnetic moment   0.1688 μB per atom
# Formation energy (no corrections)   0.03 eV per formula unit
# Crystal system   monoclinic
# Polymorph energy (0 for the lowest one)   10 meV/atom
data_KHgMoCl
_cell_length_a 14.7314
_cell_length_b 4.6168
_cell_length_c 3.0387
_cell_angle_alpha 90.00
_cell_angle_beta 101.68
_cell_angle_gamma 90.00
_space_group_name_H-M_alt 'C 1 m 1'
_space_group_IT_number 8
_space_group_name_Hall 'C -2y'
loop_
_atom_site_label
_atom_site_type_symbol
_atom_site_fract_x
_atom_site_fract_y
_atom_site_fract_z
_atom_site_occupancy
K1 K 0.0000 0.0000 0.0000 1
Hg1 Hg 0.1977 0.5000 0.7037 1
Mo1 Mo 0.2471 0.0000 0.2521 1
Cl1 Cl 0.4120 0.0000 0.4136 1

***

# PBE Ho3Ge2I2, optimized geometry
# Magnetic moment   0.0000 μB per atom
# Formation energy (no corrections)   -5.87 eV per formula unit
# Crystal system   triclinic
data_Ho3Ge2I2
_cell_length_a 4.0866
_cell_length_b 7.2275
_cell_length_c 7.7783
_cell_angle_alpha 81.43
_cell_angle_beta 89.97
_cell_angle_gamma 73.66
_space_group_name_H-M_alt 'P -1'
_space_group_IT_number 2
_space_group_name_Hall '-P 1'
loop_
_atom_site_label
_atom_site_type_symbol
_atom_site_fract_x
_atom_site_fract_y
_atom_site_fract_z
_atom_site_occupancy
Ho1 Ho 0.0000 0.0000 0.0000 1
Ho2 Ho 0.2446 0.5095 0.7834 1
Ge1 Ge 0.3772 0.2466 0.1085 1
I1 I 0.1249 0.7517 0.3879 1